Crystalline TbPaB at its relaxed geometry, computed with PBE.

abc: 4.441 4.441 4.441
angles: 60.00 60.00 60.00
Fractional positions:
B1 0.000 0.000 0.000
Pa1 0.250 0.250 0.250
Tb1 0.750 0.750 0.750

Values from the calculation:
As for the total energy: -6.691 eV/atom. As for the space group: F-43m. The total magnetization is 0.005 μB/atom.

---

Crystalline TmPaB at its relaxed geometry, computed with PBE.

abc: 4.404 4.404 4.404
angles: 60.00 60.00 60.00
Fractional positions:
Tm1 0.750 0.750 0.750
B1 0.000 0.000 0.000
Pa1 0.250 0.250 0.250

Values from the calculation:
As for the total energy: -6.672 eV/atom. As for the space group: F-43m. The total magnetization is 0.004 μB/atom.

---

Crystalline Pa2BW at its relaxed geometry, computed with PBE.

abc: 3.497 3.497 14.911
angles: 90.00 90.00 120.00
Fractional positions:
Pa1 0.333 0.667 0.605
B1 0.000 0.000 0.500
Pa2 0.667 0.333 0.105
Pa3 0.667 0.333 0.395
W1 0.333 0.667 0.250
Pa4 0.333 0.667 0.895
B2 0.000 0.000 0.000
W2 0.667 0.333 0.750

Values from the calculation:
As for the total energy: -9.267 eV/atom. As for the space group: P6_3/mmc. The total magnetization is 0.003 μB/atom.